Computed, not measured: crystalline Pa2MnPbO8 at its relaxed geometry at the PBE with a Hubbard U level of DFT.

a b c (Å): 5.1033 5.1033 6.9818
angles (deg): 90.00 90.00 92.97
Last column: nearest neighbours and their distance in Å.
Positions (direct):
Pa 0.0000 0.0000 0.2423  6 O 2.15-2.22
Pa 0.0000 0.0000 0.7577  6 O 2.15-2.22
Mn 0.5000 0.5000 0.0000  4 O 1.99
Pb 0.5000 0.5000 0.5000  6 O 2.39-2.41
O 0.1766 0.8234 0.5000  2 Pa 2.22, 1 Pb 2.39
O 0.1792 0.8208 0.0000  2 Pa 2.15, 1 Mn 2.37
O 0.3103 0.3103 0.2124  1 Mn 1.99, 1 Pa 2.19
O 0.3103 0.3103 0.7876  1 Mn 1.99, 1 Pa 2.19
O 0.6897 0.6897 0.2124  1 Mn 1.99, 1 Pa 2.19
O 0.6897 0.6897 0.7876  1 Mn 1.99, 1 Pa 2.19
O 0.8208 0.1792 0.0000  2 Pa 2.15, 1 Mn 2.37
O 0.8234 0.1766 0.5000  2 Pa 2.22, 1 Pb 2.39

Values from the calculation:
The value obtained for the total energy is -100.343 eV per cell.